# 1
The following is a PBE-GGA calculation of a relaxed BaSc2Se crystal, from Alexandria.

Its space-group type is Cmmm (65). As for the total DFT energy (no corrections): -4.94 eV per atom.

abc: 3.578 3.578 9.666
angles: 90.00 90.00 109.45
Element x y z (fractional)
Sc (0.000, 0.000, 0.073)
Se (0.500, 0.500, 0.250)
Ba (0.500, 0.500, 0.750)
Sc (0.000, 0.000, 0.427)



# 2
The following is a PBE-GGA calculation of a relaxed La5Sm4Th2 crystal, from Alexandria.

Its space-group type is P2/m (10). The energy of formation is 0.111 eV/atom.

abc: 3.542 9.099 12.017
angles: 86.05 90.00 90.00
Element x y z (fractional)
Th (0.000, 0.952, 0.631)
La (0.000, 0.585, 0.713)
Sm (0.500, 0.846, 0.897)
Th (0.000, 0.048, 0.369)
Sm (0.500, 0.299, 0.549)
La (0.000, 0.500, 0.000)
La (0.000, 0.195, 0.827)
La (0.000, 0.415, 0.287)
La (0.000, 0.805, 0.173)
Sm (0.500, 0.154, 0.103)
Sm (0.500, 0.701, 0.451)



# 3
The following is a PBE-GGA calculation of a relaxed AcSmAg crystal, from Alexandria.

Its space-group type is I4/mmm (139). The energy of formation is -0.127 eV/atom. The polymorph energy (0 for the lowest one) is 16 meV/atom.

abc: 4.989 4.989 8.693
angles: 106.67 106.67 90.00
Element x y z (fractional)
Ag (0.120, 0.120, 0.240)
Sm (0.500, 0.000, 0.000)
Sm (0.000, 0.500, 0.000)
Ac (0.316, 0.316, 0.633)
Ag (0.880, 0.880, 0.760)
Ac (0.684, 0.684, 0.367)



# 4
The following is a PBE-GGA calculation of a relaxed ZnGaIr crystal, from Alexandria.

Its space-group type is Cmcm (63). The energy of formation is -0.218 eV/atom.

abc: 4.158 5.017 8.769
angles: 90.00 90.00 90.00
Element x y z (fractional)
Zn (0.500, 0.750, 0.750)
Ga (0.500, 0.500, 0.450)
Ir (0.500, 0.000, 0.358)
Zn (0.000, 0.250, 0.250)
Zn (0.500, 0.250, 0.750)
Ir (0.000, 0.500, 0.642)
Zn (0.000, 0.750, 0.250)
Ir (0.500, 0.500, 0.142)
Ga (0.500, 0.000, 0.050)
Ga (0.000, 0.500, 0.950)
Ir (0.000, 0.000, 0.858)
Ga (0.000, 0.000, 0.550)



# 5
The following is a PBE-GGA calculation of a relaxed KTlGa crystal, from Alexandria.

Its space-group type is C2/m (12). The energy of formation is -0.094 eV/atom. The polymorph energy (0 for the lowest one) is 0 meV/atom.

abc: 4.349 6.603 9.335
angles: 127.24 103.47 90.00
Element x y z (fractional)
K (0.620, 0.880, 0.240)
Ga (0.723, 0.541, 0.446)
K (0.380, 0.120, 0.760)
Tl (0.081, 0.332, 0.161)
Ga (0.277, 0.459, 0.554)
Tl (0.919, 0.668, 0.839)



# 6
The following is a PBE-GGA calculation of a relaxed TlBi5S8 crystal, from Alexandria.

Its space-group type is Cm (8). As for the total DFT energy (no corrections): -4.27 eV per atom.

abc: 4.052 10.588 10.798
angles: 106.42 100.81 90.00
Element x y z (fractional)
Bi (0.657, 0.973, 0.315)
Bi (0.343, 0.046, 0.685)
S (0.083, 0.832, 0.166)
Bi (0.286, 0.668, 0.572)
S (0.414, 0.863, 0.827)
S (0.163, 0.478, 0.326)
Bi (0.998, 0.997, 0.997)
S (0.827, 0.538, 0.653)
Tl (0.520, 0.385, 0.040)
Bi (0.707, 0.343, 0.414)
S (0.765, 0.867, 0.530)
S (0.577, 0.153, 0.153)
S (0.924, 0.188, 0.849)
S (0.236, 0.170, 0.473)



Number 1: spin magnetization 0.000 μB/f.u.. Number 2: spin magnetization 0.000 μB/f.u.. Number 3: spin magnetization 0.007 μB/f.u.. Number 4: spin magnetization 0.000 μB/f.u.. Number 5: spin magnetization 0.000 μB/f.u.. Number 6: spin magnetization 0.000 μB/f.u..